## Pm2Te2H (PBE)

Data for a relaxed Pm2Te2H crystal.

```
Pm2Te2H
1.0
2.015 -5.577 0.000
2.015 5.577 0.000
0.000 0.000 11.770
Pm Te H
4 4 2
direct
0.051 0.949 0.500
0.226 0.774 0.749
0.774 0.226 0.249
0.949 0.051 0.000
0.062 0.938 0.240
0.331 0.669 0.457
0.669 0.331 0.957
0.938 0.062 0.740
0.363 0.637 0.114
0.637 0.363 0.614
```

Output
**E_tot**: -4.90 eV per atom
**Crystal system**: orthorhombic